The following is a DFT calculation (PBE) of an optimized crystal structure of Er2In9Pb.

Output
The value obtained for the mass density is 8.40 g/cm3. The formation energy is -238 kJ/mol of formula units.

Geometry as extended XYZ:
```
12
Lattice="4.6641 0.0000 0.0000 0.0000 4.6641 0.0000 0.0000 0.0000 14.3186" Properties=species:S:1:pos:R:3 pbc="T T T"
Er 0.0000 0.0000 2.2883
Er 0.0000 0.0000 12.0303
In 0.0000 2.3320 0.0000
In 0.0000 2.3320 4.6616
In 0.0000 2.3320 9.6570
In 2.3320 0.0000 0.0000
In 2.3320 0.0000 4.6616
In 2.3320 0.0000 9.6570
In 2.3320 2.3320 2.3230
In 2.3320 2.3320 7.1593
In 2.3320 2.3320 11.9956
Pb 0.0000 0.0000 7.1593
```

---

The following is a DFT calculation (PBE) of an optimized crystal structure of Er5In2Pb.

Output
The value obtained for the mass density is 9.39 g/cm3. The formation energy is -307 kJ/mol of formula units.

Geometry as extended XYZ:
```
16
Lattice="-4.1368 4.1368 6.5784 4.1368 -4.1368 6.5784 4.1368 4.1368 -6.5784" Properties=species:S:1:pos:R:3 pbc="T T T"
Er 0.0000 0.0000 0.0000
Er 5.4138 1.2770 -1.9880
Er 1.2770 2.8598 -1.9880
Er 5.4138 1.2770 1.9880
Er 1.2770 2.8598 1.9880
Er 0.0000 0.0000 6.5784
Er 2.8598 1.2770 4.5904
Er -1.2770 2.8598 4.5904
Er 2.8598 1.2770 8.5664
Er -1.2770 2.8598 8.5664
In 2.9629 1.1739 0.0000
In 2.9629 -1.1739 6.5784
In 1.1739 5.3107 0.0000
In 1.1739 2.9629 6.5784
Pb 0.0000 0.0000 3.2892
Pb 0.0000 0.0000 9.8676
```

---

The following is a DFT calculation (PBE) of an optimized crystal structure of Er3InPb.

Output
The value obtained for the mass density is 9.83 g/cm3. The formation energy is -138 kJ/mol of formula units.

Geometry as extended XYZ:
```
20
Lattice="8.0284 -3.1592 0.0000 8.0284 3.1592 0.0000 -1.3218 0.0000 10.9736" Properties=species:S:1:pos:R:3 pbc="T T T"
Er 0.6028 0.0767 8.4930
Er 1.2637 -0.0767 3.0062
Er 6.0142 1.5765 10.8588
Er 3.9185 0.1348 8.1103
Er 8.0600 1.5765 5.6016
Er 4.5794 -0.1348 2.6235
Er 10.1557 0.1348 8.3501
Er 6.6751 -1.5765 5.3720
Er 10.8166 -0.1348 2.8633
Er 8.7209 -1.5765 0.1148
Er 13.4713 0.0767 7.9673
Er 14.1322 -0.0767 2.4805
In 4.8672 1.7367 5.1736
In 10.5287 1.7367 0.3132
In 4.2063 -1.7367 10.6604
In 9.8678 -1.7367 5.8000
Pb 4.0142 1.5796 0.0000
Pb 7.6980 0.0116 2.7434
Pb 3.3533 -1.5796 5.4868
Pb 7.0371 -0.0116 8.2302
```

---

The following is a DFT calculation (PBE) of an optimized crystal structure of Er3InPb3.

Output
The value obtained for the mass density is 10.40 g/cm3. The formation energy is -179 kJ/mol of formula units.

Geometry as extended XYZ:
```
14
Lattice="8.8879 0.0000 0.0000 -4.4439 7.6971 0.0000 0.0000 0.0000 5.7813" Properties=species:S:1:pos:R:3 pbc="T T T"
Er -1.1835 3.4811 1.4453
Er -0.8374 6.9815 1.4453
Er 2.4230 2.7655 4.3360
Er 2.0210 4.9316 1.4453
Er 5.2814 0.7156 4.3360
Er 5.6275 4.2160 4.3360
In 0.0000 5.1314 4.3360
In 4.4440 2.5657 1.4453
Pb -0.6543 2.0206 4.3360
Pb -2.3669 7.2535 4.3360
Pb 1.4227 1.5769 1.4453
Pb 3.0212 6.1202 4.3360
Pb 6.8109 0.4437 1.4453
Pb 5.0982 5.6766 1.4453
```

---

The following is a DFT calculation (PBE) of an optimized crystal structure of ErIn2Pb.

Output
The energy above the most stable polymorph in this dataset comes out at 0.64 kcal/mol of atoms. The value obtained for the mass density is 9.66 g/cm3. The formation energy is -112 kJ/mol of formula units.

Geometry as extended XYZ:
```
4
Lattice="-2.2369 2.2369 5.1895 2.2369 -2.2369 5.1895 2.2369 2.2369 -5.1895" Properties=species:S:1:pos:R:3 pbc="T T T"
Er 0.0000 0.0000 0.0000
In 2.2369 0.0000 2.5948
In 0.0000 2.2369 2.5948
Pb 0.0000 0.0000 5.1895
```

---

The following is a DFT calculation (PBE) of an optimized crystal structure of Er6InPb.

Output
The energy above the most stable polymorph in this dataset comes out at 0.00 kcal/mol of atoms. The value obtained for the mass density is 9.93 g/cm3. The formation energy is -203 kJ/mol of formula units.

Geometry as extended XYZ:
```
8
Lattice="4.8061 0.0000 0.0000 0.0000 4.8061 0.0000 0.0000 0.0000 9.6000" Properties=species:S:1:pos:R:3 pbc="T T T"
Er 0.0000 0.0000 0.0000
Er 0.0000 0.0000 4.8000
Er 0.0000 2.4031 2.3796
Er 0.0000 2.4031 7.2204
Er 2.4031 0.0000 2.3796
Er 2.4031 0.0000 7.2204
In 2.4031 2.4031 0.0000
Pb 2.4031 2.4031 4.8000
```

---

The following is a DFT calculation (PBE) of an optimized crystal structure of Er12InPb3.

Output
The value obtained for the mass density is 10.22 g/cm3. The formation energy is -399 kJ/mol of formula units.

Geometry as extended XYZ:
```
16
Lattice="4.8138 0.0000 0.0000 0.0000 4.8138 0.0000 0.0000 0.0000 19.2448" Properties=species:S:1:pos:R:3 pbc="T T T"
Er 0.0000 0.0000 0.0000
Er 0.0000 0.0000 4.8089
Er 0.0000 0.0000 9.6224
Er 0.0000 0.0000 14.4359
Er 0.0000 2.4069 2.3831
Er 0.0000 2.4069 7.2148
Er 0.0000 2.4069 12.0300
Er 0.0000 2.4069 16.8617
Er 2.4069 0.0000 2.3831
Er 2.4069 0.0000 7.2148
Er 2.4069 0.0000 12.0300
Er 2.4069 0.0000 16.8617
In 2.4069 2.4069 0.0000
Pb 2.4069 2.4069 4.7897
Pb 2.4069 2.4069 9.6224
Pb 2.4069 2.4069 14.4551
```

---

The following is a DFT calculation (PBE) of an optimized crystal structure of Er2InPb.

Output
The value obtained for the mass density is 8.66 g/cm3. The formation energy is -81 kJ/mol of formula units.

Geometry as extended XYZ:
```
4
Lattice="2.3267 1.3433 6.7126 -2.3267 1.3433 6.7126 0.0000 -2.6866 6.7126" Properties=species:S:1:pos:R:3 pbc="T T T"
Er 0.0000 0.0000 0.0000
Er 0.0000 0.0000 3.6433
In 0.0000 0.0000 8.5079
Pb 0.0000 0.0000 11.8467
```

---

The following is a DFT calculation (PBE) of an optimized crystal structure of ErIn4Pb.

Output
The value obtained for the mass density is 8.60 g/cm3. The formation energy is -35 kJ/mol of formula units.

Geometry as extended XYZ:
```
6
Lattice="0.0000 4.3177 4.3177 4.3177 0.0000 4.3177 4.3177 4.3177 0.0000" Properties=species:S:1:pos:R:3 pbc="T T T"
Er 0.0000 0.0000 0.0000
In 5.3992 3.2363 3.2363
In 3.2363 5.3992 3.2363
In 3.2363 3.2363 5.3992
In 5.3992 5.3992 5.3992
Pb 2.1589 2.1589 2.1589
```

---

The following is a DFT calculation (PBE) of an optimized crystal structure of Er6In6Pb.

Output
The value obtained for the mass density is 8.73 g/cm3. The formation energy is -360 kJ/mol of formula units.

Geometry as extended XYZ:
```
13
Lattice="6.3428 0.0000 0.0000 -3.1714 5.4930 0.0000 0.0000 0.0000 10.3685" Properties=species:S:1:pos:R:3 pbc="T T T"
Er 0.0000 0.0000 1.8895
Er 0.0000 0.0000 8.4790
Er 0.0000 3.6620 0.0000
Er 0.0000 3.6620 5.1842
Er 3.1714 1.8310 0.0000
Er 3.1714 1.8310 5.1842
In -1.5857 2.7465 2.5833
In -1.5857 2.7465 7.7852
In 3.1714 0.0000 2.5833
In 3.1714 0.0000 7.7852
In 1.5857 2.7465 2.5833
In 1.5857 2.7465 7.7852
Pb 0.0000 0.0000 5.1842
```

---

The following is a DFT calculation (PBE) of an optimized crystal structure of ErIn2Pb2.

Output
The value obtained for the mass density is 9.77 g/cm3. The formation energy is -86 kJ/mol of formula units.

Geometry as extended XYZ:
```
10
Lattice="2.2636 -13.0716 0.0000 2.2636 13.0716 0.0000 0.0000 0.0000 4.6592" Properties=species:S:1:pos:R:3 pbc="T T T"
Er 2.2636 9.2667 3.4944
Er 2.2636 -9.2667 1.1648
In 2.2636 11.7750 1.1648
In 2.2636 1.2149 1.1648
In 2.2636 -1.2149 3.4944
In 2.2636 -11.7750 3.4944
Pb 2.2636 6.4987 1.1648
Pb 2.2636 3.7973 3.4944
Pb 2.2636 -3.7973 1.1648
Pb 2.2636 -6.4987 3.4944
```

---

The following is a DFT calculation (PBE) of an optimized crystal structure of Er6In5Pb.

Output
The energy above the most stable polymorph in this dataset comes out at 2.40 kcal/mol of atoms. The value obtained for the mass density is 8.79 g/cm3. The formation energy is -376 kJ/mol of formula units.

Geometry as extended XYZ:
```
12
Lattice="3.2008 -5.4067 0.0000 3.2008 5.4067 0.0000 -1.9018 0.0000 9.7449" Properties=species:S:1:pos:R:3 pbc="T T T"
Er 1.1023 1.8185 2.4014
Er 0.1651 0.0000 7.3180
Er 1.1023 -1.8185 2.4014
Er 3.3976 1.8185 7.3435
Er 4.3347 0.0000 2.4269
Er 3.3976 -1.8185 7.3435
In 0.0000 0.0000 0.0000
In 2.2499 3.5929 4.8725
In 3.2008 1.7786 0.0000
In 3.2008 -1.7786 0.0000
In 2.2499 -3.5929 4.8725
Pb 2.2499 0.0000 4.8725
```

---

Repeat the tenth record exactly.
The following is a DFT calculation (PBE) of an optimized crystal structure of Er6In6Pb.

Output
The value obtained for the mass density is 8.73 g/cm3. The formation energy is -360 kJ/mol of formula units.

Geometry as extended XYZ:
```
13
Lattice="6.3428 0.0000 0.0000 -3.1714 5.4930 0.0000 0.0000 0.0000 10.3685" Properties=species:S:1:pos:R:3 pbc="T T T"
Er 0.0000 0.0000 1.8895
Er 0.0000 0.0000 8.4790
Er 0.0000 3.6620 0.0000
Er 0.0000 3.6620 5.1842
Er 3.1714 1.8310 0.0000
Er 3.1714 1.8310 5.1842
In -1.5857 2.7465 2.5833
In -1.5857 2.7465 7.7852
In 3.1714 0.0000 2.5833
In 3.1714 0.0000 7.7852
In 1.5857 2.7465 2.5833
In 1.5857 2.7465 7.7852
Pb 0.0000 0.0000 5.1842
```

---

Question: Which of these has the highest mass density?
Answer: Er3InPb3